[1]
VASP calculation (PBE-GGA) on ZnNiBOs after structural relaxation.

abc: 5.647 5.647 5.647
angles: 90.00 90.00 90.00
Positions (direct):
Zn: 0.000 0.000 0.000
Zn: 0.000 0.500 0.500
Zn: 0.500 0.000 0.500
Zn: 0.500 0.500 0.000
Ni: 0.250 0.250 0.250
Ni: 0.250 0.750 0.750
Ni: 0.750 0.250 0.750
Ni: 0.750 0.750 0.250
B: 0.250 0.250 0.750
B: 0.250 0.750 0.250
B: 0.750 0.250 0.250
B: 0.750 0.750 0.750
Os: 0.000 0.000 0.500
Os: 0.000 0.500 0.000
Os: 0.500 0.000 0.000
Os: 0.500 0.500 0.500

Computed properties:
E_tot = -5.738 eV/atom

---

[2]
VASP calculation (PBE-GGA) on Pr2GdTa2P6 after structural relaxation.

abc: 11.910 11.910 11.910
angles: 157.13 157.13 32.57
Positions (direct):
Pr: 0.168 0.168 0.000
Pr: 0.832 0.832 0.000
Gd: 0.000 0.000 0.000
Ta: 0.397 0.397 0.000
Ta: 0.603 0.603 0.000
P: 0.078 0.578 0.500
P: 0.295 0.295 0.000
P: 0.422 0.922 0.500
P: 0.578 0.078 0.500
P: 0.705 0.705 0.000
P: 0.922 0.422 0.500

Computed properties:
E_tot = -7.293 eV/atom

---

[3]
VASP calculation (PBE-GGA) on Zr2Co after structural relaxation.

abc: 7.563 4.633 12.880
angles: 90.00 90.46 90.00
Positions (direct):
Zr: 0.003 0.250 0.083
Zr: 0.146 0.250 0.501
Zr: 0.220 0.750 0.348
Zr: 0.271 0.750 0.096
Zr: 0.313 0.250 0.932
Zr: 0.335 0.250 0.703
Zr: 0.443 0.250 0.190
Zr: 0.460 0.750 0.572
Zr: 0.540 0.250 0.428
Zr: 0.557 0.750 0.810
Zr: 0.665 0.750 0.297
Zr: 0.687 0.750 0.068
Zr: 0.729 0.250 0.904
Zr: 0.780 0.250 0.652
Zr: 0.854 0.750 0.499
Zr: 0.997 0.750 0.917
Co: 0.027 0.250 0.808
Co: 0.122 0.250 0.273
Co: 0.129 0.750 0.602
Co: 0.222 0.750 0.775
Co: 0.778 0.250 0.225
Co: 0.871 0.250 0.398
Co: 0.878 0.750 0.727
Co: 0.973 0.750 0.192

Computed properties:
E_tot = -8.117 eV/atom
ΔE_f = -51 meV/atom